An optimized crystal structure of Li2PmCdF8, computed with PBE-GGA.

Lattice parameters (Å, degrees): 3.910 5.266 7.770 82.65 87.82 80.60
Positions (direct):
Li1 0.071 0.048 0.293
Li2 0.929 0.952 0.707
Pm1 0.500 0.500 0.000
Cd1 0.500 0.500 0.500
F1 0.050 0.242 0.512
F2 0.055 0.251 0.052
F3 0.419 0.750 0.231
F4 0.443 0.761 0.721
F5 0.557 0.239 0.279
F6 0.581 0.250 0.769
F7 0.945 0.749 0.948
F8 0.950 0.758 0.488

Computed properties:
Formation energy from raw total energies: -3278 kJ/mol of formula units



An optimized crystal structure of Pm4Pr4Dy3, computed with PBE-GGA.

Lattice parameters (Å, degrees): 10.824 6.757 6.757 50.67 90.00 90.00
Positions (direct):
Pm1 0.000 0.000 0.000
Pm2 0.199 0.489 0.489
Pm3 0.500 0.931 0.931
Pm4 0.801 0.489 0.489
Pr1 0.000 0.273 0.273
Pr2 0.296 0.139 0.139
Pr3 0.500 0.343 0.343
Pr4 0.704 0.139 0.139
Dy1 0.209 0.793 0.793
Dy2 0.500 0.638 0.638
Dy3 0.791 0.793 0.793

Computed properties:
Energy relative to the elements: 151 kJ/mol of formula units



An optimized crystal structure of Dy2Al4Zn3Ag, computed with PBE-GGA.

Lattice parameters (Å, degrees): 4.176 4.176 10.850 90.00 90.00 90.00
Positions (direct):
Dy1 0.000 0.500 0.245
Dy2 0.500 0.000 0.755
Al1 0.000 0.000 0.000
Al2 0.000 0.500 0.639
Al3 0.500 0.000 0.361
Al4 0.500 0.500 0.000
Zn1 0.000 0.500 0.862
Zn2 0.500 0.000 0.138
Zn3 0.500 0.500 0.500
Ag1 0.000 0.000 0.500

Computed properties:
Energy relative to the elements: -344 kJ/mol of formula units



An optimized crystal structure of AcPuGaGe, computed with PBE-GGA.

Lattice parameters (Å, degrees): 7.507 7.507 7.507 90.00 90.00 90.00
Positions (direct):
Ac1 0.000 0.000 0.000
Ac2 0.000 0.500 0.500
Ac3 0.500 0.000 0.500
Ac4 0.500 0.500 0.000
Pu1 0.000 0.000 0.500
Pu2 0.000 0.500 0.000
Pu3 0.500 0.000 0.000
Pu4 0.500 0.500 0.500
Ga1 0.250 0.250 0.750
Ga2 0.250 0.750 0.250
Ga3 0.750 0.250 0.250
Ga4 0.750 0.750 0.750
Ge1 0.250 0.250 0.250
Ge2 0.250 0.750 0.750
Ge3 0.750 0.250 0.750
Ge4 0.750 0.750 0.250

Computed properties:
Energy relative to the elements: -129 kJ/mol of formula units



An optimized crystal structure of Rb4HgH12, computed with PBE-GGA.

Lattice parameters (Å, degrees): 7.990 7.990 7.990 109.47 109.47 109.47
Positions (direct):
Rb1 0.000 0.000 0.500
Rb2 0.000 0.500 0.000
Rb3 0.500 0.000 0.000
Rb4 0.500 0.500 0.500
Hg1 0.000 0.000 0.000
H1 0.131 0.458 0.589
H2 0.131 0.542 0.673
H3 0.327 0.869 0.458
H4 0.411 0.869 0.542
H5 0.458 0.327 0.869
H6 0.458 0.589 0.131
H7 0.542 0.411 0.869
H8 0.542 0.673 0.131
H9 0.589 0.131 0.458
H10 0.673 0.131 0.542
H11 0.869 0.458 0.327
H12 0.869 0.542 0.411

Computed properties:
Total DFT energy (no corrections): -2.5887 eV/atom



An optimized crystal structure of Al4ZnAg, computed with PBE-GGA.

Lattice parameters (Å, degrees): 5.347 5.347 5.347 60.00 60.00 60.00
Positions (direct):
Al1 0.125 0.125 0.125
Al2 0.125 0.125 0.625
Al3 0.125 0.625 0.125
Al4 0.625 0.125 0.125
Zn1 0.750 0.750 0.750
Ag1 0.500 0.500 0.500

Computed properties:
Energy relative to the elements: 130 kJ/mol of formula units



An optimized crystal structure of ReTeW, computed with PBE-GGA.

Lattice parameters (Å, degrees): 3.099 4.233 8.039 90.00 90.00 90.00
Positions (direct):
Re1 0.000 0.000 0.000
Re2 0.500 0.500 0.500
Te1 0.000 0.000 0.671
Te2 0.500 0.500 0.171
W1 0.000 0.000 0.340
W2 0.500 0.500 0.840

Computed properties:
Formation energy from raw total energies: 233 kJ/mol of formula units



An optimized crystal structure of SrSnN, computed with PBE-GGA.

Lattice parameters (Å, degrees): 5.514 4.969 10.170 90.00 90.00 90.00
Positions (direct):
Sr1 0.039 0.250 0.107
Sr2 0.461 0.750 0.607
Sr3 0.539 0.250 0.393
Sr4 0.961 0.750 0.893
Sn1 0.021 0.750 0.359
Sn2 0.479 0.250 0.859
Sn3 0.521 0.750 0.141
Sn4 0.979 0.250 0.641
N1 0.131 0.750 0.147
N2 0.369 0.250 0.647
N3 0.631 0.750 0.353
N4 0.869 0.250 0.853

Computed properties:
Formation energy from raw total energies: -82 kJ/mol of formula units